DFT (PBE) results for a relaxed MnAg2Sb crystal.

As for the crystal system: monoclinic. Its energy relative to the elements, uncorrected is 0.18 eV per atom.

The structure belongs to space group C2/m (No. 12); the cell edges are 10.092, 3.080 and 5.000 Å and the angles 90.00°, 99.12° and 90.00°. The asymmetric unit holds Mn at (0.000, 0.000, 0.000), Ag at (0.242, 0.500, 0.236) and Sb at (0.000, 0.500, 0.500).